P:
{"formula": "La2TmPu", "functional": "PBE", "state": "relaxed", "density_kg_m3": 8756, "m_tot_mub_per_fu": 5.90, "space_group": "No. 123", "cell": [[-2.2721, -1.6905, 2.2186], [1.7251, -3.1003, -0.5957], [6.1664, 1.9346, 7.7893]], "species": ["Tm", "La", "La", "Pu"], "frac_coords": [[0.5000, 0.5000, 0.5000], [0.0000, 0.0000, 0.7535], [0.0000, 0.0000, 0.2465], [0.5000, 0.5000, 0.0000]]}

Q:
{"formula": "La2TmPu", "functional": "PBE", "state": "relaxed", "density_kg_m3": 8701, "m_tot_mub_per_fu": 7.71, "space_group": "No. 225", "cell": [[5.7126, 0.0000, 0.0000], [2.8563, 4.9473, 0.0000], [2.8563, 1.6491, 4.6643]], "species": ["Tm", "La", "La", "Pu"], "frac_coords": [[0.5000, 0.5000, 0.5000], [0.2500, 0.2500, 0.2500], [0.7500, 0.7500, 0.7500], [0.0000, 0.0000, 0.0000]]}

Which structure is the most stable? The one labeled P.

P:
{"formula": "La2TmPu", "functional": "PBE", "state": "relaxed", "density_kg_m3": 8768, "m_tot_mub_per_fu": 6.28, "space_group": "No. 160", "cell": [[3.6080, 0.0000, 0.0000], [1.8040, 3.1246, 0.0000], [1.8040, 1.0415, 11.6036]], "species": ["La", "La", "Tm", "Pu"], "frac_coords": [[0.0823, 0.0823, 0.7530], [0.2507, 0.2507, 0.2478], [0.4995, 0.4995, 0.5016], [0.6675, 0.6675, 0.9975]]}

Q:
{"formula": "La2TmPu", "functional": "PBE", "state": "relaxed", "density_kg_m3": 8655, "m_tot_mub_per_fu": 6.46, "space_group": "No. 166", "cell": [[-0.6418, 3.2656, -1.0990], [-3.0912, 0.7840, -1.4538], [-5.7952, 4.2354, 10.3814]], "species": ["Tm", "La", "La", "Pu"], "frac_coords": [[0.5000, 0.5000, 0.5000], [0.0870, 0.0870, 0.7391], [0.9130, 0.9130, 0.2609], [0.0000, 0.0000, 0.0000]]}

Which structure is the most stable? The one labeled P.

P:
{"formula": "LaPuU", "functional": "PBE", "state": "relaxed", "density_kg_m3": 13366, "m_tot_mub_per_fu": 3.78, "space_group": "No. 107", "cell": [[-1.3814, -3.0595, -0.9391], [0.5981, -1.2516, 3.1979], [-5.3345, 4.1702, 0.7301]], "species": ["La", "U", "Pu"], "frac_coords": [[0.9975, 0.9975, 0.9950], [0.7146, 0.7146, 0.4293], [0.2879, 0.2879, 0.5757]]}

Q:
{"formula": "LaPuU", "functional": "PBE", "state": "relaxed", "density_kg_m3": 12921, "m_tot_mub_per_fu": 3.08, "space_group": "No. 12", "cell": [[-3.5516, -0.1248, 2.1484], [1.5268, -4.6092, 2.2564], [4.6891, 4.2901, 3.9875]], "species": ["U", "U", "La", "La", "Pu", "Pu"], "frac_coords": [[0.7551, 0.2170, 0.5102], [0.2449, 0.7830, 0.4898], [0.5672, 0.7675, 0.1344], [0.4328, 0.2325, 0.8656], [0.8332, 0.6714, 0.6664], [0.1668, 0.3286, 0.3336]]}

Which structure is the most stable? The one labeled Q.

P:
{"formula": "La2YPu", "functional": "PBE", "state": "relaxed", "density_kg_m3": 7594, "m_tot_mub_per_fu": 6.24, "space_group": "No. 160", "cell": [[3.6361, 0.0000, 0.0000], [1.8181, 3.1490, 0.0000], [1.8181, 1.0497, 11.6637]], "species": ["La", "La", "Y", "Pu"], "frac_coords": [[0.0811, 0.0811, 0.7568], [0.2521, 0.2521, 0.2437], [0.4995, 0.4995, 0.5015], [0.6673, 0.6673, 0.9980]]}

Q:
{"formula": "La2YPu", "functional": "PBE", "state": "relaxed", "density_kg_m3": 7607, "m_tot_mub_per_fu": 6.02, "space_group": "No. 123", "cell": [[-2.3550, -0.7750, -2.6260], [-0.6166, -3.2246, 1.5047], [-7.5506, 4.0463, 5.5771]], "species": ["Y", "La", "La", "Pu"], "frac_coords": [[0.5000, 0.5000, 0.5000], [0.0000, 0.0000, 0.7583], [0.0000, 0.0000, 0.2417], [0.5000, 0.5000, 0.0000]]}

R:
{"formula": "La2YPu", "functional": "PBE", "state": "relaxed", "density_kg_m3": 7715, "m_tot_mub_per_fu": 6.44, "space_group": "No. 123", "cell": [[-2.7106, -3.6121, -2.0827], [3.4703, -3.4778, 1.5150], [-2.5568, -0.6276, 4.4161]], "species": ["Y", "La", "La", "Pu"], "frac_coords": [[0.5000, 0.5000, 0.5000], [0.0000, 0.0000, 0.5000], [0.0000, 0.5000, 0.0000], [0.5000, 0.0000, 0.0000]]}

Which structure is the most stable? The one labeled Q.